# 1
Here is crystalline BaNiSn2Ge at its relaxed geometry from the Open Quantum Materials Database. Energies are from PBE-GGA.

Calculated values
**Total energy**: -4.488 eV/atom
**Theoretical density**: 6903 kg/m³

Cell: 4.741 4.741 10.832 Å, 90.00 90.00 90.00°
Space group I4mm (No. 107)
One atom of each set of equivalent atoms:
Ba 0.000 0.000 0.000 [2 per cell]
Ni 0.000 0.000 0.648 [2 per cell]
Sn 0.000 0.500 0.254 [4 per cell]
Ge 0.000 0.000 0.427 [2 per cell]

# 2
Here is crystalline LaTb3Se6 at its relaxed geometry from the Open Quantum Materials Database. Energies are from PBE-GGA.

Calculated values
**Total energy**: -5.907 eV/atom
**Theoretical density**: 6560 kg/m³

Cell: 11.667 4.180 11.963 Å, 90.00 109.05 90.00°
Space group P2_1/m (No. 11)
One atom of each set of equivalent atoms:
La 0.048 0.250 0.195 [2 per cell]
Tb 0.159 0.250 0.586 [2 per cell]
Tb 0.320 0.750 0.000 [2 per cell]
Tb 0.441 0.250 0.334 [2 per cell]
Se 0.084 0.750 0.406 [2 per cell]
Se 0.119 0.250 0.964 [2 per cell]
Se 0.197 0.750 0.750 [2 per cell]
Se 0.264 0.750 0.228 [2 per cell]
Se 0.393 0.250 0.558 [2 per cell]
Se 0.481 0.250 0.113 [2 per cell]

# 3
Here is crystalline GdHoFe2Si2 at its relaxed geometry from the Open Quantum Materials Database. Energies are from PBE-GGA.

Calculated values
**Total energy**: -6.751 eV/atom
**Theoretical density**: 7697 kg/m³

Cell: 4.032 4.032 6.502 Å, 90.00 90.00 90.00°
Space group P4mm (No. 99)
One atom of each set of equivalent atoms:
Gd 0.000 0.000 0.000 [1 per cell]
Ho 0.500 0.500 0.367 [1 per cell]
Fe 0.000 0.500 0.678 [2 per cell]
Si 0.000 0.000 0.501 [1 per cell]
Si 0.500 0.500 0.858 [1 per cell]